DFT (PBE) results for a relaxed AgPbSCl2 crystal. Values from VASP.

Polymorph energy (0 for the lowest one) = 0.0000 eV/atom
ρ = 5.578 Mg/m³
VASP energy = -15.73 eV/f.u.

Cell and atoms, written as Quantum ESPRESSO input:
```
&SYSTEM
  ibrav = 0, nat = 5, ntyp = 4
/
ATOMIC_SPECIES
Ag 107.87 Ag.upf
Pb 207.20 Pb.upf
S 32.06 S.upf
Cl 35.45 Cl.upf
ATOMIC_POSITIONS crystal
Ag 0.000 0.000 0.000
Pb 0.500 0.500 0.500
S 0.000 0.000 0.500
Cl 0.000 0.500 0.000
Cl 0.500 0.000 0.000
CELL_PARAMETERS angstrom
4.943 0.000 0.000
0.000 4.943 0.000
0.000 0.000 5.094
```